First-principles (GGA-PBE) data for a relaxed PmHo2ThN4 crystal, as listed in Alexandria via LeMat-Bulk.

Lattice parameters (Å, degrees): 6.1360 3.5533 6.1387 90.00 109.34 90.00
With the nearest neighbours (Å) after each atom.
Space group P2/m (No. 10)
Asymmetric unit:
Pm  0.0000  0.0000  0.0000 x1  6 N 2.55
Ho  0.5000  0.0000  0.5000 x1  6 N 2.46-2.47
Ho  0.5000  0.5000  0.0000 x1  6 N 2.50-2.51
Th  0.0000  0.5000  0.5000 x1  6 N 2.50-2.52
N  0.2570  0.0000  0.7484 x2  3 Ho 2.46-2.50, 2 Th 2.52, 1 Pm 2.55
N  0.2575  0.5000  0.2581 x2  3 Ho 2.47-2.51, 1 Th 2.50, 2 Pm 2.55

Output
E in eV per atom: -8.46
DOS(E_F) in states/eV/f.u.: 1.7
Formation energy (no corrections) in eV per atom: -1.628